VASP calculation (GGA-PBEsol) on an optimized crystal structure of TcTe3Mo.

Lattice parameters (Å, degrees): 5.202 5.202 5.202 90.00 90.00 90.00
Element x y z (fractional)
Tc 0.000 0.000 0.000
Te 0.000 0.500 0.500
Te 0.500 0.000 0.500
Te 0.500 0.500 0.000
Mo 0.500 0.500 0.500

---

VASP calculation (GGA-PBEsol) on an optimized crystal structure of TcTe2Mo.

Lattice parameters (Å, degrees): 5.151 5.151 5.151 132.20 132.20 69.92
Element x y z (fractional)
Tc 0.000 0.000 0.000
Te 0.500 0.500 0.000
Te 0.750 0.250 0.500
Mo 0.250 0.750 0.500

Calculated values
- Energy relative to the lowest polymorph listed for this composition: 0.433 eV/atom

---

VASP calculation (GGA-PBEsol) on an optimized crystal structure of ZrTcTeMo2.

Lattice parameters (Å, degrees): 4.772 4.772 5.081 90.00 90.00 90.00
Element x y z (fractional)
Zr 0.000 0.000 0.000
Tc 0.500 0.500 0.000
Te 0.000 0.000 0.500
Mo 0.000 0.500 0.500
Mo 0.500 0.000 0.500

---

Quick rundown of formation energy from raw total energies, same order as above: 6.61; 2.78; 10.08 eV/f.u.
Quick rundown of total moment, same order as above: 3.8; 0.0; 1.5 μB per cell